## BeCuAu (meta-GGA SCAN)

Data for BeCuAu at its PBEsol-relaxed geometry.

Calculated values
Calculated formation energy (meV/atom): 115
SG: F-43m (216)
Magnetization (μB/cell): 0.0
Energy relative to the lowest polymorph listed for this composition (eV per atom): 0.312
DOS(E_F) (states/eV/f.u.): 0.9

Cell lengths 4.001, 4.001, 4.001 Å; angles 60.00, 60.00, 60.00 degrees
Sites, in units of the cell vectors:
Be (0.000, 0.000, 0.000)
Au (0.250, 0.250, 0.250)
Cu (0.500, 0.500, 0.500)